Entry 1:
A plane-wave DFT calculation with PBE-GGA was carried out for an optimized crystal structure of V3RhW.

Output
space-group type = C2/m (12)
magnetization = 0.0 μB/f.u.
N(E_F) = 9.15 states/eV per cell
volume = 72 Å³/f.u.

abc: 2.8758 6.9663 7.6064
angles: 105.99 100.90 90.00
Last column: nearest neighbours and their distance in Å.
Element x y z (fractional)
V (0.0496, 0.7390, 0.0991)  2 V 2.51, 2 W 2.57-2.72, 4 Rh 2.61-2.62
V (0.9504, 0.2610, 0.9009)  2 V 2.51, 2 W 2.57-2.72, 4 Rh 2.61-2.62
V (0.3113, 0.1047, 0.6226)  6 V 2.46-2.54, 2 W 2.71
V (0.6887, 0.8953, 0.3774)  6 V 2.46-2.54, 2 W 2.71
V (0.2373, 0.6405, 0.4746)  4 V 2.54, 3 Rh 2.61-2.84
V (0.7627, 0.3595, 0.5254)  4 V 2.54, 3 Rh 2.61-2.84
Rh (0.5915, 0.4627, 0.1831)  7 V 2.61-2.84, 2 W 2.82, 3 Rh 2.88-2.92
Rh (0.4085, 0.5373, 0.8169)  7 V 2.61-2.84, 2 W 2.82, 3 Rh 2.88-2.92
W (0.8961, 0.8769, 0.7923)  6 V 2.57-2.87, 2 Rh 2.82, 2 W 2.88
W (0.1039, 0.1231, 0.2077)  6 V 2.57-2.87, 2 Rh 2.82, 2 W 2.88

---

Entry 2:
A plane-wave DFT calculation with PBE-GGA was carried out for an optimized crystal structure of LiNiIr2.

Output
space-group type = Cmm2 (35)
magnetization = 0.3 μB/f.u.
N(E_F) = 6.50 states/eV per cell
volume = 55 Å³/f.u.

abc: 2.6673 2.6673 8.8903
angles: 90.00 90.00 119.20
Last column: nearest neighbours and their distance in Å.
Element x y z (fractional)
Ir (0.0000, 0.0000, 0.9900)  2 Ni 2.53, 8 Ir 2.67-2.71
Ir (0.5000, 0.5000, 0.2538)  2 Li 2.62, 8 Ir 2.67-2.71
Li (0.0000, 0.0000, 0.5068)  2 Ni 2.54, 2 Ir 2.62, 6 Li 2.67-2.70
Ni (0.5000, 0.5000, 0.7494)  2 Ir 2.53, 2 Li 2.54, 6 Ni 2.67-2.70

---

Respective ΔE_f values: 0.03; 0.18 eV/atom.